This record from the Alexandria database describes a geometry-optimized Tl2CrFe structure. The functional is PBE.

```
Tl2CrFe
1.0
-1.344 2.508 -1.304
-2.757 -1.482 -0.009
-1.646 3.016 7.499
Cr Fe Tl
1 1 2
Direct
0.000 0.000 0.564
0.500 0.500 0.694
0.000 0.000 0.945
0.500 0.500 0.297
```

## Properties
Formation enthalpy at 0 K, kJ/mol of formula units: 194
Volume, Å³/cell: 80.8
DOS at the Fermi energy, states/eV/atom: 0.857
VASP energy, eV/atom: -5.2018

=====

This record from the Alexandria database describes a geometry-optimized SmAlSn structure. The functional is PBE.

```
SmAlSn
1.0
-3.856 -2.177 0.433
-0.549 -2.445 5.674
-4.675 3.942 1.038
Sm Al Sn
2 2 2
Direct
0.000 0.587 0.413
0.500 0.215 0.785
0.304 0.996 0.395
0.696 0.605 0.004
0.207 0.782 0.805
0.793 0.195 0.218
```

## Properties
Formation enthalpy at 0 K, kJ/mol of formula units: -148
Volume, Å³/cell: 146.6
DOS at the Fermi energy, states/eV/atom: 0.317
VASP energy, eV/atom: -4.6676

=====

This record from the Alexandria database describes a geometry-optimized BeSi2Pb structure. The functional is PBE.

```
BeSi2Pb
1.0
-3.528 -4.625 0.443
2.826 2.795 4.270
-2.448 0.737 2.636
Pb Be Si
1 1 2
Direct
0.000 0.500 0.500
0.500 0.000 0.500
0.000 0.000 0.000
0.500 0.500 0.000
```

## Properties
Volume, Å³/cell: 71.9
DOS at the Fermi energy, states/eV/atom: 0.399
Raw formation energy, meV per atom: 651
VASP energy, eV/atom: -3.9192

=====

This record from the Alexandria database describes a geometry-optimized Sb2Se2N structure. The functional is PBE.

```
Sb2Se2N
1.0
6.324 0.000 0.000
0.000 6.324 0.000
0.000 0.000 5.830
Sb Se N
4 4 2
Direct
0.189 0.689 0.000
0.689 0.811 0.000
0.811 0.311 0.000
0.311 0.189 0.000
0.134 0.634 0.500
0.634 0.866 0.500
0.866 0.366 0.500
0.366 0.134 0.500
0.000 0.000 0.000
0.500 0.500 0.000
```

## Properties
Volume, Å³/cell: 233.2
DOS at the Fermi energy, states/eV/atom: 0.658
Raw formation energy, meV per atom: 492
VASP energy, eV/atom: -4.2154

=====

This record from the Alexandria database describes a geometry-optimized Na5HCl4 structure. The functional is PBE.

```
Na5HCl4
1.0
3.966 0.000 0.000
0.000 3.966 0.000
-1.983 -1.983 13.841
Na H Cl
5 1 4
Direct
0.091 0.091 0.182
0.500 0.500 0.000
0.909 0.909 0.818
0.301 0.301 0.601
0.699 0.699 0.399
0.000 0.000 0.000
0.403 0.403 0.807
0.802 0.802 0.605
0.198 0.198 0.395
0.597 0.597 0.193
```

## Properties
Volume, Å³/cell: 217.7
DOS at the Fermi energy, states/eV/atom: 0.000
VASP energy, eV/atom: -3.1914

=====

This record from the Alexandria database describes a geometry-optimized PrSm8Mg2 structure. The functional is PBE.

```
PrSm8Mg2
1.0
-4.262 3.696 -1.513
-2.783 -0.123 -8.462
-6.790 -5.527 -2.375
Pr Sm Mg
1 8 2
Direct
0.500 0.000 0.000
0.859 0.097 0.229
0.859 0.325 0.771
0.294 0.413 0.000
0.500 0.788 0.425
0.500 0.212 0.575
0.706 0.587 0.000
0.141 0.675 0.229
0.141 0.903 0.771
0.000 0.307 0.385
0.000 0.693 0.615
```

## Properties
Formation enthalpy at 0 K, kJ/mol of formula units: 130
Volume, Å³/cell: 364.0
DOS at the Fermi energy, states/eV/atom: 1.245
VASP energy, eV/atom: -4.0345

=====

This record from the Alexandria database describes a geometry-optimized Al2CdMo structure. The functional is PBE.

```
Al2CdMo
1.0
4.306 0.000 0.000
0.000 2.830 -0.038
0.000 0.070 5.632
Mo Al Cd
1 2 1
Direct
0.500 0.750 0.750
0.000 0.251 0.972
0.000 0.249 0.528
0.500 0.250 0.250
```

## Properties
Formation enthalpy at 0 K, kJ/mol of formula units: 29
Volume, Å³/cell: 68.6
DOS at the Fermi energy, states/eV/atom: 0.382
VASP energy, eV/atom: -4.7314

=====

This record from the Alexandria database describes a geometry-optimized LaTmRhAu structure. The functional is PBE.

```
LaTmRhAu
1.0
-0.124 -4.578 -2.188
-1.860 -3.978 2.544
-4.441 -2.037 -1.371
Rh Tm Au La
1 1 1 1
Direct
0.500 0.500 0.500
0.750 0.750 0.750
0.000 0.000 0.000
0.250 0.250 0.250
```

## Properties
Formation enthalpy at 0 K, kJ/mol of formula units: -291
Volume, Å³/cell: 92.4
DOS at the Fermi energy, states/eV/atom: 0.944
VASP energy, eV/atom: -5.7601

=====

This record from the Alexandria database describes a geometry-optimized Ca3Mg5Ag structure. The functional is PBE.

```
Ca3Mg5Ag
1.0
4.553 0.000 0.000
0.000 6.929 -4.000
0.000 0.000 8.001
Ca Mg Ag
3 5 1
Direct
0.000 0.000 0.400
0.000 0.400 0.000
0.000 0.600 0.600
0.500 0.667 0.333
0.500 0.333 0.667
0.500 0.231 0.231
0.500 0.769 0.000
0.500 0.000 0.769
0.000 0.000 0.000
```

## Properties
Formation enthalpy at 0 K, kJ/mol of formula units: -98
Volume, Å³/cell: 252.4
DOS at the Fermi energy, states/eV/atom: 0.751
VASP energy, eV/atom: -1.9829

=====

This record from the Alexandria database describes a geometry-optimized Cs2SrNiSe structure. The functional is PBE.

```
Cs2SrNiSe
1.0
-5.224 2.556 -0.168
-1.562 -3.476 -4.331
-2.020 -3.876 3.840
Cs Sr Se Ni
2 1 1 1
Direct
0.000 0.000 0.500
0.500 0.000 0.000
0.000 0.500 0.000
0.500 0.500 0.500
0.000 0.000 0.000
```

## Properties
Volume, Å³/cell: 195.3
DOS at the Fermi energy, states/eV/atom: 0.187
Raw formation energy, meV per atom: -76
VASP energy, eV/atom: -2.6074

=====

This record from the Alexandria database describes a geometry-optimized K3TlBr4 structure. The functional is PBE.

```
K3TlBr4
1.0
6.643 0.000 0.000
0.000 9.837 0.000
0.000 0.000 11.322
K Tl Br
6 2 8
Direct
0.565 0.834 0.000
0.064 0.667 0.252
0.564 0.333 0.248
0.065 0.166 0.500
0.564 0.333 0.752
0.064 0.667 0.748
0.064 0.165 0.000
0.564 0.835 0.500
0.065 0.830 0.000
0.564 0.165 0.000
0.064 0.335 0.251
0.564 0.665 0.249
0.064 0.835 0.500
0.565 0.170 0.500
0.564 0.665 0.751
0.064 0.335 0.749
```

## Properties
Volume, Å³/cell: 739.8
DOS at the Fermi energy, states/eV/atom: 0.000
Raw formation energy, meV per atom: -1492
VASP energy, eV/atom: -3.0356

=====

This record from the Alexandria database describes a geometry-optimized SmNpTe2 structure. The functional is PBE.

```
SmNpTe2
1.0
3.794 0.000 0.000
0.000 3.794 0.000
0.000 0.000 7.681
Np Te Sm
1 2 1
Direct
0.500 0.500 0.500
0.000 0.000 0.748
0.000 0.000 0.252
0.500 0.500 0.000
```

## Properties
Volume, Å³/cell: 110.6
DOS at the Fermi energy, states/eV/atom: 2.042
Raw formation energy, meV per atom: -889
VASP energy, eV/atom: -6.8744